This record from the Alexandria database describes crystalline Ac2Tb2PmPr4 at its relaxed geometry. The functional is PBE-GGA.

abc: 9.0714 9.0714 10.2091
angles: 99.00 99.00 23.69
Closest atoms and distances in Å follow each position.
Element x y z (fractional)
Ac (0.1631, 0.1631, 0.0843)  7 Pr 3.71-3.96, 2 Ac 3.72, 2 Tb 3.91
Ac (0.8369, 0.8369, 0.9157)  7 Pr 3.71-3.96, 2 Ac 3.72, 2 Tb 3.91
Tb (0.3342, 0.3342, 0.5787)  4 Pr 3.47-3.68, 4 Tb 3.67-3.72, 2 Pm 3.68
Tb (0.6658, 0.6658, 0.4213)  4 Pr 3.47-3.68, 4 Tb 3.67-3.72, 2 Pm 3.68
Pm (0.0000, 0.0000, 0.5000)  6 Pr 3.47-3.75, 4 Tb 3.68, 2 Pm 3.72
Pr (0.1697, 0.1697, 0.7229)  1 Pm 3.47, 3 Tb 3.47-3.59, 4 Pr 3.65-3.72, 3 Ac 3.71-3.78
Pr (0.4888, 0.4888, 0.1789)  5 Pr 3.65-3.74, 1 Tb 3.68, 2 Pm 3.75, 4 Ac 3.86-3.96
Pr (0.5112, 0.5112, 0.8211)  5 Pr 3.65-3.74, 1 Tb 3.68, 2 Pm 3.75, 4 Ac 3.86-3.96
Pr (0.8303, 0.8303, 0.2771)  1 Pm 3.47, 3 Tb 3.47-3.59, 4 Pr 3.65-3.72, 3 Ac 3.71-3.78

Calculated values
- total energy (eV for the cell shown) = -41.13
- energy of formation (eV per atom) = 0.024